No. 1
The following is a DFT calculation (GGA-PBE) of an optimized crystal structure of HfTa2NbN.

Lattice parameters (Å, degrees): 4.251 4.251 4.561 90.00 90.00 90.00
Positions (direct):
1 Hf 0.000 0.000 0.000
2 Ta 0.000 0.500 0.500
3 Ta 0.500 0.000 0.500
4 Nb 0.500 0.500 0.000
5 N 0.000 0.000 0.500

## Properties
- total magnetic moment (μB/f.u.) = 0.0
- electronic total energy (eV/atom) = -10.930
- formation energy from raw total energies (eV/atom) = -0.519
- density (g/cm³) = 13.0
- crystal system = tetragonal
- SG = No. 123
- excess energy over the best structure of this formula in the dataset (meV per atom) = 0.0

=====

No. 2
The following is a DFT calculation (GGA-PBE) of an optimized crystal structure of Hf2TaNbN.

Lattice parameters (Å, degrees): 4.490 4.490 4.232 90.00 90.00 90.00
Positions (direct):
1 Hf 0.000 0.500 0.000
2 Hf 0.500 0.000 0.000
3 Ta 0.000 0.000 0.500
4 Nb 0.500 0.500 0.500
5 N 0.000 0.000 0.000

## Properties
- total magnetic moment (μB/f.u.) = 0.0
- electronic total energy (eV/atom) = -10.651
- formation energy from raw total energies (eV/atom) = -0.620
- density (g/cm³) = 12.6
- crystal system = tetragonal
- SG = No. 123
- excess energy over the best structure of this formula in the dataset (meV per atom) = 0.0

=====

No. 3
The following is a DFT calculation (GGA-PBE) of an optimized crystal structure of HfTa2NbN.

Lattice parameters (Å, degrees): 4.306 4.306 4.417 90.00 90.00 90.00
Positions (direct):
1 Hf 0.000 0.000 0.000
2 Ta 0.000 0.500 0.500
3 Ta 0.500 0.000 0.500
4 Nb 0.500 0.500 0.000
5 N 0.500 0.500 0.500

## Properties
- total magnetic moment (μB/f.u.) = 0.0
- electronic total energy (eV/atom) = -10.896
- formation energy from raw total energies (eV/atom) = -0.486
- density (g/cm³) = 13.1
- crystal system = tetragonal
- SG = No. 123
- excess energy over the best structure of this formula in the dataset (meV per atom) = 33.1

=====

No. 4
The following is a DFT calculation (GGA-PBE) of an optimized crystal structure of Hf2TaNbN.

Lattice parameters (Å, degrees): 4.450 4.450 4.312 90.00 90.00 90.00
Positions (direct):
1 Hf 0.000 0.500 0.000
2 Hf 0.500 0.000 0.000
3 Ta 0.000 0.000 0.500
4 Nb 0.500 0.500 0.500
5 N 0.500 0.500 0.000

## Properties
- total magnetic moment (μB/f.u.) = 0.0
- electronic total energy (eV/atom) = -10.620
- formation energy from raw total energies (eV/atom) = -0.589
- density (g/cm³) = 12.5
- crystal system = tetragonal
- SG = No. 123
- excess energy over the best structure of this formula in the dataset (meV per atom) = 30.3

=====

No. 5
The following is a DFT calculation (GGA-PBE) of an optimized crystal structure of TbHfNbN3.

Lattice parameters (Å, degrees): 5.629 3.253 8.416 90.00 102.82 90.00
Positions (direct):
1 Tb 0.146 0.250 0.190
2 Tb 0.854 0.750 0.810
3 Hf 0.267 0.750 0.549
4 Hf 0.733 0.250 0.451
5 Nb 0.377 0.250 0.868
6 Nb 0.623 0.750 0.132
7 N 0.057 0.250 0.656
8 N 0.240 0.750 0.993
9 N 0.460 0.750 0.348
10 N 0.540 0.250 0.652
11 N 0.760 0.250 0.007
12 N 0.943 0.750 0.344

## Properties
- total magnetic moment (μB/f.u.) = 0.0
- electronic total energy (eV/atom) = -9.795
- formation energy from raw total energies (eV/atom) = -1.524
- density (g/cm³) = 10.4
- crystal system = monoclinic
- SG = No. 11

=====

No. 6
The following is a DFT calculation (GGA-PBE) of an optimized crystal structure of HfThNbN3.

Lattice parameters (Å, degrees): 6.949 3.237 8.386 90.00 98.49 90.00
Positions (direct):
1 Hf 0.145 0.250 0.128
2 Hf 0.855 0.750 0.872
3 Th 0.343 0.750 0.812
4 Th 0.657 0.250 0.188
5 Nb 0.360 0.750 0.422
6 Nb 0.640 0.250 0.578
7 N 0.079 0.250 0.873
8 N 0.323 0.250 0.588
9 N 0.364 0.750 0.134
10 N 0.636 0.250 0.866
11 N 0.677 0.750 0.412
12 N 0.921 0.750 0.127

## Properties
- total magnetic moment (μB/f.u.) = 0.0
- electronic total energy (eV/atom) = -10.009
- formation energy from raw total energies (eV/atom) = -1.273
- density (g/cm³) = 9.7
- crystal system = monoclinic
- SG = No. 11

=====

total magnetic moment of number 2 (Hf2TaNbN)? 0.0 μB/f.u.

=====

Look up the total magnetic moment of the fourth one. 0.0 μB/f.u.

=====

Look up the electronic total energy of the sixth one. -10.009 eV/atom

=====

Look up the density of the first one. 13.0 g/cm³